No. 1
## SrZrRe2 (meta-GGA SCAN)

Data for a crystal of SrZrRe2 relaxed with PBEsol.

Summary:
total DFT energy (no corrections)	-47.9096	eV/atom
energy of formation from the pure elements	3.531	eV per formula unit

Cell: 5.8321 9.6382 2.7645 Å, 90.00 108.45 90.00°
With the nearest neighbours (Å) after each atom.
Space group C2/m (No. 12)
Unique sites:
Sr 0.0000 0.0000 0.0000 (multiplicity 2)  2 Sr 2.76, 2 Zr 2.92, 4 Re 2.93
Zr 0.0000 0.5000 0.0000 (multiplicity 2)  2 Zr 2.76, 2 Sr 2.92, 4 Re 2.93
Re 0.2500 0.2500 0.5000 (multiplicity 4)  4 Re 2.76-2.92, 2 Sr 2.93, 2 Zr 2.93

=====

No. 2
## Sr2ZrRe (meta-GGA SCAN)

Data for a crystal of Sr2ZrRe relaxed with PBEsol.

Summary:
total DFT energy (no corrections)	-35.1649	eV/atom
energy of formation from the pure elements	5.687	eV per formula unit

Cell: 7.3886 7.3886 7.3886 Å, 90.00 90.00 90.00°
With the nearest neighbours (Å) after each atom.
Space group Fm-3m (No. 225)
Unique sites:
Sr 0.2500 0.2500 0.2500 (multiplicity 8)  4 Re 3.20, 4 Zr 3.20
Zr 0.0000 0.0000 0.0000 (multiplicity 4)  8 Sr 3.20
Re 0.0000 0.0000 0.5000 (multiplicity 4)  8 Sr 3.20

=====

No. 3
## SrZr2Re (meta-GGA SCAN)

Data for a crystal of SrZr2Re relaxed with PBEsol.

Summary:
total DFT energy (no corrections)	-38.4379	eV/atom
energy of formation from the pure elements	1.019	eV per formula unit

Cell: 4.3474 4.3474 19.7692 Å, 90.00 90.00 120.00°
With the nearest neighbours (Å) after each atom.
Space group R3m (No. 160, hexagonal axes)
Unique sites:
Sr 0.0000 0.0000 0.0000 (multiplicity 3)  6 Zr 3.34-3.56, 1 Re 3.57
Zr 0.0000 0.0000 0.2057 (multiplicity 3)  3 Re 2.72
Zr 0.0000 0.0000 0.4447 (multiplicity 3)  3 Re 2.64
Re 0.0000 0.0000 0.8196 (multiplicity 3)  6 Zr 2.64-2.72

=====

No. 4
## SrZrRe2 (meta-GGA SCAN)

Data for a crystal of SrZrRe2 relaxed with PBEsol.

Summary:
total DFT energy (no corrections)	-48.2722	eV/atom
energy of formation from the pure elements	2.080	eV per formula unit

Cell: 3.5493 3.5493 7.0831 Å, 90.00 90.00 90.00°
With the nearest neighbours (Å) after each atom.
Space group P4/mmm (No. 123)
Unique sites:
Sr 0.0000 0.0000 0.0000 (multiplicity 1)  8 Re 3.43, 2 Zr 3.54, 4 Sr 3.55
Zr 0.0000 0.0000 0.5000 (multiplicity 1)  8 Re 2.78
Re 0.5000 0.5000 0.3299 (multiplicity 2)  1 Re 2.41

=====

No. 5
## Sr2ZrRe (meta-GGA SCAN)

Data for a crystal of Sr2ZrRe relaxed with PBEsol.

Summary:
total DFT energy (no corrections)	-36.2590	eV/atom
energy of formation from the pure elements	1.311	eV per formula unit

Cell: 3.4974 3.4974 9.5910 Å, 90.00 90.00 90.00°
With the nearest neighbours (Å) after each atom.
Space group P4mm (No. 99)
Unique sites:
Sr 0.0000 0.0000 0.0000 (multiplicity 1)  4 Re 3.27, 1 Zr 3.30, 4 Sr 3.50
Sr 0.5000 0.5000 0.3767 (multiplicity 1)  4 Sr 3.50, 4 Zr 3.64, 1 Re 3.83
Zr 0.0000 0.0000 0.6556 (multiplicity 1)  4 Re 2.73
Re 0.5000 0.5000 0.7764 (multiplicity 1)  4 Zr 2.73

=====

No. 6
## Ta3Re (meta-GGA SCAN)

Data for a crystal of Ta3Re relaxed with PBEsol.

Summary:
total DFT energy (no corrections)	-67.8942	eV/atom
energy of formation from the pure elements	-0.729	eV per formula unit

Cell: 3.2107 4.6279 8.9996 Å, 90.00 90.00 90.00°
With the nearest neighbours (Å) after each atom.
Space group Cmmm (No. 65)
Unique sites:
Ta 0.0000 0.0000 0.0000 (multiplicity 2)  8 Ta 2.82-2.84
Ta 0.0000 0.5000 0.2602 (multiplicity 4)  2 Re 2.69, 6 Ta 2.82-2.84
Re 0.0000 0.0000 0.5000 (multiplicity 2)  4 Ta 2.69, 4 Re 2.82

=====

No. 7
## Ta2Re (meta-GGA SCAN)

Data for a crystal of Ta2Re relaxed with PBEsol.

Summary:
total DFT energy (no corrections)	-68.0256	eV/atom
energy of formation from the pure elements	0.187	eV per formula unit

Cell: 4.7277 4.7277 5.2169 Å, 90.00 90.00 120.00°
With the nearest neighbours (Å) after each atom.
Space group P6_3/mmc (No. 194)
Unique sites:
Ta 0.0000 0.0000 0.0000 (multiplicity 2)  2 Ta 2.61
Ta 0.3333 0.6667 0.2500 (multiplicity 2)  5 Re 2.61-2.73
Re 0.3333 0.6667 0.7500 (multiplicity 2)  5 Ta 2.61-2.73

=====

No. 8
## Ta3Re (meta-GGA SCAN)

Data for a crystal of Ta3Re relaxed with PBEsol.

Summary:
total DFT energy (no corrections)	-67.9461	eV/atom
energy of formation from the pure elements	-0.937	eV per formula unit

Cell: 8.9993 6.4535 4.5774 Å, 90.00 90.00 90.00°
With the nearest neighbours (Å) after each atom.
Space group Cmcm (No. 63)
Unique sites:
Ta 0.0000 0.1305 0.2500 (multiplicity 4)  6 Ta 2.76-2.84, 2 Re 2.78
Ta 0.2487 0.1245 0.7500 (multiplicity 8)  6 Ta 2.76-2.80, 2 Re 2.76-2.77
Re 0.0000 0.3760 0.7500 (multiplicity 4)  6 Ta 2.76-2.78, 2 Re 2.79